NaInHg6Pb | Alexandria | PBE-GGA | relaxed; formation energy = -1 meV/atom
1.0
-6.043 -4.474 3.053
5.844 -1.828 8.889
-2.238 8.044 -3.428
Na Pb Hg In
2 2 12 2
Cartesian
-4.141 1.785 -0.187
-1.119 4.022 -1.714
-2.541 -0.640 4.816
0.104 2.383 3.698
-3.403 2.141 3.199
-6.666 2.792 1.680
1.061 -2.979 8.520
-3.498 4.722 -0.006
-1.492 0.370 1.578
-5.300 -2.449 3.502
-0.946 1.373 6.937
0.405 4.961 1.274
-2.843 -3.218 7.240
2.863 4.192 5.012
0.966 -0.398 5.316
4.229 -1.048 6.834
-0.099 -3.151 5.971
-3.022 -2.237 1.527

---

NaIn2HgPd | Alexandria | PBE-GGA | relaxed; ΔE to the lowest computed polymorph = 0 meV per atom; formation energy = -144 meV/atom
1.0
5.157 0.000 0.000
0.000 5.157 0.000
0.000 0.000 5.496
In Pd Hg Na
2 1 1 1
Cartesian
0.000 2.578 0.000
2.578 0.000 0.000
0.000 0.000 0.000
2.578 2.578 2.748
0.000 0.000 2.748

---

NaInHgPd2 | Alexandria | PBE-GGA | relaxed; formation energy = 416 meV/atom
1.0
5.216 0.000 0.000
0.000 5.289 0.000
0.000 0.000 5.216
Pd In Na Hg
2 1 1 1
Cartesian
0.000 0.000 2.608
2.608 0.000 0.000
0.000 2.645 0.000
2.608 2.645 2.608
0.000 0.000 0.000

---

NaIn2HgPd | Alexandria | PBE-GGA | relaxed; ΔE to the lowest computed polymorph = 9 meV per atom; formation energy = -135 meV/atom
1.0
-0.580 -3.981 -3.256
-2.834 -2.487 3.545
-4.444 2.258 -1.969
Na Pd In Hg
1 1 2 1
Cartesian
-3.929 -2.105 -0.840
0.000 0.000 0.000
-0.290 -1.991 -1.628
-1.417 -1.244 1.773
-2.222 1.129 -0.985

---

NaInHgPd | Alexandria | PBE-GGA | relaxed; formation energy = -184 meV/atom
1.0
4.868 0.000 0.000
2.434 4.216 0.000
2.434 1.405 3.975
In Pd Na Hg
1 1 1 1
Cartesian
4.868 2.811 1.987
2.434 1.405 0.994
0.000 0.000 0.000
7.303 4.216 2.981

---

NaInHg2Pd | Alexandria | PBE-GGA | relaxed; formation energy = -123 meV/atom
1.0
-1.360 1.206 -5.015
-4.750 -2.313 0.732
-1.932 4.474 1.600
Hg In Pd Na
2 1 1 1
Cartesian
-2.375 -1.157 0.366
-0.680 0.603 -2.507
-0.966 2.237 0.800
0.000 0.000 0.000
-4.021 1.683 -1.342

---

Rb2NaIn3Hg12 | Alexandria | PBE-GGA | relaxed; formation energy = -67 meV/atom
1.0
7.911 -1.937 -1.374
2.222 7.835 -1.374
2.222 1.294 7.849
Na Hg Rb In
1 12 2 3
Cartesian
0.000 0.000 0.000
9.051 1.731 1.228
8.805 5.125 -0.062
3.304 5.461 3.873
8.805 1.636 4.858
3.550 5.556 0.243
6.585 0.343 0.243
6.380 0.176 3.873
5.771 6.849 4.858
3.550 2.067 5.163
6.380 3.714 -1.114
5.975 7.016 1.228
5.975 3.478 6.215
4.478 2.607 1.849
7.877 4.585 3.252
3.955 -0.968 -0.687
1.111 0.647 3.924
1.111 3.918 -0.687

---

RbNaInHg | Alexandria | PBE-GGA | relaxed; ΔE to the lowest computed polymorph = 0 meV per atom; formation energy = -144 meV/atom
1.0
-2.794 1.628 -4.046
0.908 -5.059 0.641
-3.876 0.067 6.034
Na Rb Hg In
1 1 1 1
Cartesian
-2.662 -4.325 5.834
-2.884 0.353 1.242
-2.286 -0.036 -2.651
-1.058 -2.266 -1.084

---

Rb2Na5InHg2 | Alexandria | PBE-GGA | relaxed; formation energy = -98 meV/atom
1.0
4.702 0.000 0.000
0.000 12.513 0.000
0.000 0.000 12.513
Na Rb In Hg
10 4 2 4
Cartesian
2.351 3.800 7.042
2.351 7.042 8.713
2.351 11.727 2.457
2.351 5.471 3.800
2.351 0.786 10.056
2.351 10.056 11.727
2.351 2.457 0.786
2.351 6.256 0.000
2.351 0.000 6.256
2.351 8.713 5.471
0.000 4.064 10.320
0.000 2.192 4.064
0.000 8.449 2.192
0.000 10.320 8.449
0.000 6.256 6.256
0.000 0.000 0.000
0.000 10.995 4.738
0.000 4.738 1.518
0.000 1.518 7.775
0.000 7.775 10.995

---

RbNaInHg2 | Alexandria | PBE-GGA | relaxed; ΔE to the lowest computed polymorph = 93 meV per atom; formation energy = -91 meV/atom
1.0
5.736 0.000 0.000
0.000 5.736 0.000
0.000 0.000 5.973
In Rb Hg Na
1 1 2 1
Cartesian
0.000 0.000 0.000
2.868 2.868 2.987
0.000 2.868 0.000
2.868 0.000 0.000
0.000 0.000 2.987

---

RbNaInHg2 | Alexandria | PBE-GGA | relaxed; ΔE to the lowest computed polymorph = 0 meV per atom; formation energy = -184 meV/atom
1.0
-1.097 1.964 -4.410
0.303 -4.485 -2.073
-6.187 0.264 4.436
Rb In Na Hg
1 1 1 2
Cartesian
0.000 0.000 0.000
-3.141 -2.741 -0.439
-3.841 0.483 -1.608
-1.873 -1.484 -2.973
-5.109 -0.773 0.927

---

RbNa5InHg2 | Alexandria | PBE-GGA | relaxed; formation energy = -44 meV/atom
1.0
-0.403 -5.437 -1.828
2.725 -1.794 4.735
-10.113 -1.071 5.415
Hg Na Rb In
2 5 1 1
Cartesian
-2.547 -0.270 1.364
-7.565 -0.801 4.051
-0.198 -1.062 3.203
-5.056 -0.535 2.708
-8.754 -3.624 3.665
-1.762 -2.884 -0.078
-7.189 -1.803 6.947
-3.895 -4.151 4.161
0.000 0.000 0.000

---

Rb2Na6InHg | Alexandria | PBE-GGA | relaxed; formation energy = -32 meV/atom
1.0
9.308 0.000 0.000
0.000 8.057 0.000
0.000 0.000 11.619
Na In Rb Hg
12 2 4 2
Cartesian
7.409 7.462 5.810
6.524 3.389 5.810
7.437 4.668 0.000
2.783 3.389 5.810
4.654 1.975 2.933
6.552 0.595 0.000
0.000 6.082 8.743
2.755 0.595 0.000
0.000 6.082 2.876
4.654 1.975 8.686
1.898 7.462 5.810
1.871 4.668 0.000
4.654 3.185 0.000
0.000 4.872 5.810
0.000 2.059 8.732
4.654 5.998 2.922
4.654 5.998 8.697
0.000 2.059 2.887
0.000 7.286 0.000
4.654 0.770 5.810

---

RbNaInHg | Alexandria | PBE-GGA | relaxed; ΔE to the lowest computed polymorph = 96 meV per atom; formation energy = -48 meV/atom
1.0
-5.125 -0.173 2.549
-3.768 -4.071 -1.420
-1.215 -4.195 3.704
Hg Na Rb In
1 1 1 1
Cartesian
-5.055 -4.220 2.416
0.000 0.000 0.000
-7.582 -6.329 3.625
-2.527 -2.110 1.208

---

NaInHg2Rh | Alexandria | PBE-GGA | relaxed; formation energy = -87 meV/atom
1.0
-0.634 1.707 4.992
-4.993 -1.817 -0.013
1.631 -4.493 1.744
Na Hg Rh In
1 2 1 1
Cartesian
-1.999 -2.302 3.361
-2.497 -0.909 -0.007
-0.317 0.854 2.496
0.000 0.000 0.000
0.815 -2.247 0.872

---

NaInHg2Sb | Alexandria | PBE-GGA | relaxed; formation energy from raw total energies = -0.069 eV per atom
1.0
3.481 0.000 0.000
-1.740 8.924 0.000
0.000 0.000 9.461
Hg In Na Sb
4 2 2 2
Cartesian
0.000 2.950 5.446
1.740 5.974 0.715
1.740 5.974 4.015
0.000 2.950 8.746
0.000 0.000 4.731
0.000 0.000 0.000
0.000 3.786 2.365
1.740 5.138 7.096
0.000 7.866 7.096
1.740 1.058 2.365

---

NaSmInHg | Alexandria | PBE-GGA | relaxed; formation energy = -328 meV/atom
1.0
5.290 0.000 0.000
2.645 4.582 0.000
2.645 1.527 4.319
Hg Na Sm In
1 1 1 1
Cartesian
5.290 3.054 2.160
2.645 1.527 1.080
7.935 4.582 3.240
0.000 0.000 0.000

---

NaInSnHg3 | Alexandria | PBE-GGA | relaxed; formation energy = -87 meV/atom
1.0
-0.878 3.653 2.418
-5.664 1.914 -4.949
-2.520 -5.806 7.857
Hg Na Sn In
6 2 2 2
Cartesian
-5.784 4.126 -2.143
-4.126 0.354 4.157
-4.935 -0.594 1.168
-3.325 2.298 1.512
-5.737 -2.537 3.814
-3.278 -4.365 7.469
-7.289 0.213 3.222
-1.773 -0.453 2.104
-2.394 -2.438 4.878
-6.668 2.199 0.448
-4.929 -1.572 6.777
-4.133 1.333 -1.451

---

Na2In2Sn2Hg | Alexandria | PBE-GGA | relaxed; formation energy = -114 meV/atom
1.0
3.954 0.019 0.010
1.964 5.874 -0.867
-0.008 0.216 8.175
Sn Na In Hg
2 2 2 1
Cartesian
1.962 4.116 4.157
3.948 1.992 3.160
1.968 0.967 5.714
3.941 5.141 1.604
1.971 2.387 0.695
3.938 3.721 6.622
0.000 0.000 0.000

---

NaInSnHg4 | Alexandria | PBE-GGA | relaxed; formation energy = -12 meV/atom
1.0
6.259 0.000 0.000
0.000 6.191 0.000
-3.130 0.000 10.650
In Hg Sn Na
2 8 2 2
Cartesian
3.130 4.643 2.942
0.000 1.548 7.707
0.000 4.643 10.621
1.565 3.095 5.325
1.565 0.000 5.325
3.130 1.548 0.028
-1.565 0.000 5.325
3.130 1.548 9.550
0.000 4.643 1.099
-1.565 3.095 5.325
0.000 4.643 7.688
3.130 1.548 2.962
0.000 1.548 2.462
3.130 4.643 8.188